Entry from Alexandria via LeMat-Bulk: an optimized crystal structure of Sr4Tl5 (PBE).

Cell: 8.2113 8.2113 8.2113 Å, 96.08 96.08 142.01°
Positions (direct):
Sr1 0.0000 0.3008 0.3008
Sr2 0.0000 0.6992 0.6992
Sr3 0.3008 0.0000 0.3008
Sr4 0.6992 0.0000 0.6992
Tl1 0.0000 0.0000 0.0000
Tl2 0.3341 0.3341 0.6683
Tl3 0.3341 0.6659 0.0000
Tl4 0.6659 0.3341 0.0000
Tl5 0.6659 0.6659 0.3317

Computed properties:
Total magnetization, μB/f.u.: 0.00
Energy relative to the elements, eV per atom: -0.25
Theoretical density, g/cm³: 7.07